## 1
SrN4: relaxed, PBE.

Unit cell a=5.2992 b=5.2992 c=5.2992 alpha=90.00 beta=90.00 gamma=90.00
Last column: nearest neighbours and their distance in Å.
Element x y z (fractional)
Sr  0.5000  0.5000  0.5000  6 N 2.65
N  0.0000  0.0000  0.0000  12 N 3.75
N  0.5000  0.0000  0.5000  2 Sr 2.65
N  0.0000  0.5000  0.5000  2 Sr 2.65
N  0.5000  0.5000  0.0000  2 Sr 2.65

Summary:
SG: Pm-3m


## 2
SrN4: relaxed, PBE.

Unit cell a=4.4431 b=4.4431 c=4.7903 alpha=91.84 beta=91.84 gamma=59.24
Last column: nearest neighbours and their distance in Å.
Element x y z (fractional)
Sr  0.0000  0.0000  0.0000  6 N 2.65
N  0.6656  0.6656  0.8515  1 N 1.19
N  0.3344  0.3344  0.1485  1 N 1.19
N  0.6608  0.6608  0.6039  1 N 1.19
N  0.3392  0.3392  0.3961  1 N 1.19

Summary:
SG: C2/m


2 has the most favorable energy; the next structure is 3100 meV/atom above.


## 1
Sr2TaN2: relaxed, PBE.

Unit cell a=3.9247 b=3.9247 c=6.3890 alpha=72.11 beta=72.11 gamma=90.00
Last column: nearest neighbours and their distance in Å.
Element x y z (fractional)
Sr  0.7500  0.2500  0.5000  4 N 2.52, 4 Sr 2.78
Sr  0.2500  0.7500  0.5000  4 N 2.52, 4 Sr 2.78
N  0.3877  0.3877  0.2246  4 Sr 2.52, 1 N 2.58
N  0.6123  0.6123  0.7754  4 Sr 2.52, 1 N 2.58
Ta  0.0000  0.0000  0.0000  8 N 3.06

Summary:
SG: I4/mmm


## 2
Sr2TaN2: relaxed, PBE.

Unit cell a=6.3913 b=6.3913 c=4.1367 alpha=90.00 beta=90.00 gamma=90.00
Last column: nearest neighbours and their distance in Å.
Element x y z (fractional)
Sr  0.1521  0.6521  0.5000  2 N 2.48, 1 Sr 2.75
Sr  0.6521  0.8479  0.5000  2 N 2.48, 1 Sr 2.75
Sr  0.8479  0.3479  0.5000  2 N 2.48, 1 Sr 2.75
Sr  0.3479  0.1521  0.5000  2 N 2.48, 1 Sr 2.75
N  0.3032  0.8032  0.0000  2 Ta 2.31, 2 Sr 2.48
N  0.8032  0.6968  0.0000  2 Ta 2.31, 2 Sr 2.48
N  0.6968  0.1968  0.0000  2 Ta 2.31, 2 Sr 2.48
N  0.1968  0.3032  0.0000  2 Ta 2.31, 2 Sr 2.48
Ta  0.0000  0.0000  0.0000  4 N 2.31
Ta  0.5000  0.5000  0.0000  4 N 2.31

Summary:
SG: P4/mbm


2 has the most favorable energy; the next structure is 1469 meV/atom above.


## 1
SrTa3N: relaxed, PBE.

Unit cell a=4.4620 b=4.4620 c=4.4620 alpha=90.00 beta=90.00 gamma=90.00
Last column: nearest neighbours and their distance in Å.
Element x y z (fractional)
Sr  0.5000  0.5000  0.5000  12 Ta 3.16
N  0.0000  0.0000  0.0000  6 Ta 2.23
Ta  0.0000  0.5000  0.0000  2 N 2.23
Ta  0.0000  0.0000  0.5000  2 N 2.23
Ta  0.5000  0.0000  0.0000  2 N 2.23

Summary:
SG: Pm-3m


## 2
SrTa3N: relaxed, PBE.

Unit cell a=4.8444 b=4.8444 c=4.8444 alpha=90.00 beta=90.00 gamma=90.00
Last column: nearest neighbours and their distance in Å.
Element x y z (fractional)
Sr  0.0000  0.0000  0.0000  6 Ta 2.42
N  0.5000  0.5000  0.5000  12 Ta 3.43
Ta  0.0000  0.5000  0.0000  2 Sr 2.42
Ta  0.0000  0.0000  0.5000  2 Sr 2.42
Ta  0.5000  0.0000  0.0000  2 Sr 2.42

Summary:
SG: Pm-3m


1 has the most favorable energy; the next structure is 3739 meV/atom above.


## 1
Sr2Tc2N: relaxed, PBE.

Unit cell a=6.9112 b=6.9112 c=5.4352 alpha=90.00 beta=90.00 gamma=90.00
Last column: nearest neighbours and their distance in Å.
Element x y z (fractional)
Sr  0.3168  0.8168  0.0000  2 N 2.53
Sr  0.8168  0.6832  0.0000  2 N 2.53
Sr  0.6832  0.1832  0.0000  2 N 2.53
Sr  0.1832  0.3168  0.0000  2 N 2.53
Tc  0.1078  0.6078  0.5000  1 Tc 2.11
Tc  0.6078  0.8922  0.5000  1 Tc 2.11
Tc  0.8922  0.3922  0.5000  1 Tc 2.11
Tc  0.3922  0.1078  0.5000  1 Tc 2.11
N  0.0000  0.0000  0.0000  4 Sr 2.53
N  0.5000  0.5000  0.0000  4 Sr 2.53

Summary:
SG: P4/mbm


## 2
Sr2Tc2N: relaxed, PBE.

Unit cell a=3.4218 b=3.4218 c=9.4353 alpha=79.55 beta=79.55 gamma=90.00
Last column: nearest neighbours and their distance in Å.
Element x y z (fractional)
Sr  0.4196  0.4196  0.1608  4 N 2.83, 1 Sr 2.93
Sr  0.5804  0.5804  0.8392  4 N 2.83, 1 Sr 2.93
Tc  0.7500  0.2500  0.5000  4 Tc 2.42
Tc  0.2500  0.7500  0.5000  4 Tc 2.42
N  0.0000  0.0000  0.0000  8 Sr 2.83

Summary:
SG: I4/mmm


2 has the most favorable energy; the next structure is 866 meV/atom above.


## 1
SrTcTe2N: relaxed, PBE.

Unit cell a=5.6706 b=5.6706 c=3.7914 alpha=90.00 beta=90.00 gamma=90.00
Last column: nearest neighbours and their distance in Å.
Element x y z (fractional)
Sr  0.5000  0.5000  0.5000  8 Te 3.41, 2 Sr 3.79
Te  0.0000  0.5000  0.0000  2 Tc 2.84
Te  0.5000  0.0000  0.0000  2 Tc 2.84
Tc  0.0000  0.0000  0.0000  2 N 1.90
N  0.0000  0.0000  0.5000  2 Tc 1.90

Summary:
SG: P4/mmm


## 2
SrTcTe2N: relaxed, PBE.

Unit cell a=6.1482 b=6.1482 c=4.7154 alpha=90.00 beta=90.00 gamma=90.00
Last column: nearest neighbours and their distance in Å.
Element x y z (fractional)
Sr  0.0000  0.0000  0.0000  2 N 2.36
Te  0.0000  0.5000  0.0000  2 Sr 3.07
Te  0.5000  0.0000  0.0000  2 Sr 3.07
Tc  0.5000  0.5000  0.5000  8 Te 3.87
N  0.0000  0.0000  0.5000  2 Sr 2.36

Summary:
SG: P4/mmm


1 has the most favorable energy; the next structure is 1801 meV/atom above.


## 1
SrTcTeN2: relaxed, PBE.

Unit cell a=4.1187 b=4.1187 c=5.6541 alpha=90.00 beta=90.00 gamma=90.00
Last column: nearest neighbours and their distance in Å.
Element x y z (fractional)
Sr  0.5000  0.5000  0.5000  4 Te 2.91
Te  0.0000  0.0000  0.5000  2 Tc 2.83, 4 Sr 2.91
Tc  0.0000  0.0000  0.0000  4 N 2.06
N  0.0000  0.5000  0.0000  2 Tc 2.06
N  0.5000  0.0000  0.0000  2 Tc 2.06

Summary:
SG: P4/mmm


## 2
SrTcTeN2: relaxed, PBE.

Unit cell a=4.5610 b=4.5610 c=6.5601 alpha=90.00 beta=90.00 gamma=90.00
Last column: nearest neighbours and their distance in Å.
Element x y z (fractional)
Sr  0.0000  0.0000  0.0000  4 N 2.28
Te  0.0000  0.0000  0.5000  4 Tc 3.23, 2 Sr 3.28
Tc  0.5000  0.5000  0.5000  4 Te 3.23
N  0.0000  0.5000  0.0000  2 Sr 2.28
N  0.5000  0.0000  0.0000  2 Sr 2.28

Summary:
SG: P4/mmm


1 has the most favorable energy; the next structure is 2013 meV/atom above.


## 1
SrTe2N2: relaxed, PBE.

Unit cell a=4.4029 b=4.4029 c=6.0248 alpha=90.00 beta=90.00 gamma=90.00
Last column: nearest neighbours and their distance in Å.
Element x y z (fractional)
Sr  0.5000  0.5000  0.5000  4 Te 3.11
Te  0.0000  0.0000  0.0000  4 N 2.20
Te  0.0000  0.0000  0.5000  2 Te 3.01, 4 Sr 3.11
N  0.0000  0.5000  0.0000  2 Te 2.20
N  0.5000  0.0000  0.0000  2 Te 2.20

Summary:
SG: P4/mmm


## 2
SrTe2N2: relaxed, PBE.

Unit cell a=4.8073 b=4.8073 c=6.8770 alpha=90.00 beta=90.00 gamma=90.00
Last column: nearest neighbours and their distance in Å.
Element x y z (fractional)
Sr  0.0000  0.0000  0.0000  4 N 2.40
Te  0.5000  0.5000  0.5000  4 Te 3.40
Te  0.0000  0.0000  0.5000  4 Te 3.40, 2 Sr 3.44
N  0.0000  0.5000  0.0000  2 Sr 2.40
N  0.5000  0.0000  0.0000  2 Sr 2.40

Summary:
SG: P4/mmm


1 has the most favorable energy; the next structure is 577 meV/atom above.


## 1
SrTe2N2: relaxed, PBE.

Unit cell a=6.6369 b=6.6369 c=5.0204 alpha=90.00 beta=90.00 gamma=90.00
Last column: nearest neighbours and their distance in Å.
Element x y z (fractional)
Sr  0.0000  0.0000  0.0000  2 N 2.51
Te  0.0000  0.5000  0.0000  2 Sr 3.32
Te  0.5000  0.0000  0.0000  2 Sr 3.32
N  0.5000  0.5000  0.5000  8 Te 4.16
N  0.0000  0.0000  0.5000  2 Sr 2.51

Summary:
SG: P4/mmm


## 2
SrTe2N2: relaxed, PBE.

Unit cell a=4.7706 b=4.7706 c=4.7065 alpha=90.00 beta=90.00 gamma=90.00
Last column: nearest neighbours and their distance in Å.
Element x y z (fractional)
Sr  0.5000  0.5000  0.5000  8 Te 3.35, 4 N 3.37
Te  0.0000  0.5000  0.0000  2 N 2.39
Te  0.5000  0.0000  0.0000  2 N 2.39
N  0.0000  0.0000  0.0000  2 N 2.35, 4 Te 2.39
N  0.0000  0.0000  0.5000  2 N 2.35

Summary:
SG: P4/mmm


2 has the most favorable energy; the next structure is 934 meV/atom above.